Entry 1:
The following is a GGA-PBE calculation of an optimized crystal structure of Hf6GaIr, from Alexandria via LeMat-Bulk.

Lattice parameters (Å, degrees): 6.0992 10.6098 6.1688 90.00 118.67 90.00
Space group C2/m (No. 12)
Symmetry-distinct sites (fractional):
Hf  0.2470  0.2063  0.2487 (multiplicity 8)
Hf  0.2489  0.0000  0.7556 (multiplicity 4)
Ga  0.0000  0.5000  0.5000 (multiplicity 2)
Ir  0.0000  0.0000  0.0000 (multiplicity 2)

Total DFT energy (no corrections): -0.327 Ha/atom
Magnetic moment: 0.00 μB/atom
Calculated formation energy: 0.04 eV per atom
DOS(E_F): 0.881 states/eV/atom

Entry 2:
The following is a GGA-PBE calculation of an optimized crystal structure of Hf2GaIr4, from Alexandria via LeMat-Bulk.

Lattice parameters (Å, degrees): 4.4857 4.4857 13.4976 90.00 90.00 90.00
Space group I4/mmm (No. 139)
Symmetry-distinct sites (fractional):
Hf  0.0000  0.0000  0.1359 (multiplicity 4)
Ga  0.0000  0.0000  0.5000 (multiplicity 2)
Ir  0.0000  0.0000  0.3199 (multiplicity 4)
Ir  0.0000  0.5000  0.0000 (multiplicity 4)

Total DFT energy (no corrections): -0.295 Ha/atom
Magnetic moment: 0.00 μB/atom
Calculated formation energy: 0.30 eV per atom
DOS(E_F): 0.644 states/eV/atom

Entry 3:
The following is a GGA-PBE calculation of an optimized crystal structure of Hf4GaIr, from Alexandria via LeMat-Bulk.

Lattice parameters (Å, degrees): 4.4842 4.5144 6.5421 90.00 90.11 90.00
Space group P2/m (No. 10)
Symmetry-distinct sites (fractional):
Hf  0.0003  0.0000  0.2424 (multiplicity 2)
Hf  0.5001  0.5000  0.2418 (multiplicity 2)
Ga  0.0000  0.5000  0.5000 (multiplicity 1)
Ir  0.5000  0.0000  0.0000 (multiplicity 1)

Total DFT energy (no corrections): -0.328 Ha/atom
Magnetic moment: 0.00 μB/atom
Energy relative to the lowest polymorph listed for this composition: 0.030 eV/atom
Calculated formation energy: -0.30 eV per atom
DOS(E_F): 0.768 states/eV/atom

Entry 4:
The following is a GGA-PBE calculation of an optimized crystal structure of Hf2GaIr, from Alexandria via LeMat-Bulk.

Lattice parameters (Å, degrees): 4.4346 4.4346 3.6542 90.00 90.00 90.00
Space group P4/mmm (No. 123)
Symmetry-distinct sites (fractional):
Hf  0.0000  0.5000  0.0000 (multiplicity 2)
Ga  0.0000  0.0000  0.5000 (multiplicity 1)
Ir  0.5000  0.5000  0.5000 (multiplicity 1)

Total DFT energy (no corrections): -0.315 Ha/atom
Magnetic moment: 0.00 μB/atom
Calculated formation energy: -0.62 eV per atom
DOS(E_F): 0.762 states/eV/atom

Entry 5:
The following is a GGA-PBE calculation of an optimized crystal structure of Hf2GaIr, from Alexandria via LeMat-Bulk.

Lattice parameters (Å, degrees): 3.4248 3.4248 23.5762 90.00 90.00 120.00
Space group R-3m (No. 166, hexagonal axes)
Symmetry-distinct sites (fractional):
Hf  0.0000  0.0000  0.2435 (multiplicity 6)
Ga  0.0000  0.0000  0.0000 (multiplicity 3)
Ir  0.0000  0.0000  0.5000 (multiplicity 3)

Total DFT energy (no corrections): -0.306 Ha/atom
Magnetic moment: 0.00 μB/atom
Calculated formation energy: -0.38 eV per atom
DOS(E_F): 0.500 states/eV/atom

Entry 6:
The following is a GGA-PBE calculation of an optimized crystal structure of HfGaIr, from Alexandria via LeMat-Bulk.

Lattice parameters (Å, degrees): 4.3819 4.3819 3.0403 90.00 90.00 120.00
Space group P-6m2 (No. 187)
Symmetry-distinct sites (fractional):
Hf  0.0000  0.0000  0.0000 (multiplicity 1)
Ga  0.6667  0.3333  0.5000 (multiplicity 1)
Ir  0.3333  0.6667  0.5000 (multiplicity 1)

Total DFT energy (no corrections): -0.295 Ha/atom
Magnetic moment: 0.00 μB/atom
Calculated formation energy: -0.75 eV per atom
DOS(E_F): 0.775 states/eV/atom

Entry 7:
The following is a GGA-PBE calculation of an optimized crystal structure of HfGaIr, from Alexandria via LeMat-Bulk.

Lattice parameters (Å, degrees): 3.3853 3.3853 8.9192 90.00 90.00 90.00
Space group I4mm (No. 107)
Symmetry-distinct sites (fractional):
Hf  0.0000  0.0000  0.0000 (multiplicity 2)
Ga  0.0000  0.0000  0.6814 (multiplicity 2)
Ir  0.0000  0.0000  0.3367 (multiplicity 2)

Total DFT energy (no corrections): -0.288 Ha/atom
Magnetic moment: 0.00 μB/atom
Calculated formation energy: -0.55 eV per atom
DOS(E_F): 0.687 states/eV/atom

Entry 8:
The following is a GGA-PBE calculation of an optimized crystal structure of Hf3Ga3Ir, from Alexandria via LeMat-Bulk.

Lattice parameters (Å, degrees): 3.6902 10.1725 13.3672 90.00 90.00 90.00
Space group Cmcm (No. 63)
Symmetry-distinct sites (fractional):
Hf  0.0000  0.0083  0.2500 (multiplicity 4)
Hf  0.0000  0.3130  0.0948 (multiplicity 8)
Ga  0.0000  0.2557  0.7500 (multiplicity 4)
Ga  0.0000  0.4055  0.6050 (multiplicity 8)
Ir  0.0000  0.0000  0.0000 (multiplicity 4)

Total DFT energy (no corrections): -0.272 Ha/atom
Magnetic moment: 0.00 μB/atom
Calculated formation energy: -0.58 eV per atom
DOS(E_F): 0.544 states/eV/atom

Entry 9:
The following is a GGA-PBE calculation of an optimized crystal structure of HfGaIr, from Alexandria via LeMat-Bulk.

Lattice parameters (Å, degrees): 6.1839 6.1839 6.1839 90.00 90.00 90.00
Space group F-43m (No. 216)
Symmetry-distinct sites (fractional):
Hf  0.0000  0.0000  0.0000 (multiplicity 4)
Ga  0.0000  0.0000  0.5000 (multiplicity 4)
Ir  0.2500  0.2500  0.7500 (multiplicity 4)

Total DFT energy (no corrections): -0.290 Ha/atom
Magnetic moment: 0.00 μB/atom
Calculated formation energy: -0.62 eV per atom
DOS(E_F): 1.599 states/eV/atom

Entry 10:
The following is a GGA-PBE calculation of an optimized crystal structure of HfGaIr2, from Alexandria via LeMat-Bulk.

Lattice parameters (Å, degrees): 4.2048 4.2048 3.6011 90.00 90.00 90.00
Space group P4/mmm (No. 123)
Symmetry-distinct sites (fractional):
Hf  0.0000  0.0000  0.0000 (multiplicity 1)
Ga  0.5000  0.5000  0.0000 (multiplicity 1)
Ir  0.0000  0.5000  0.5000 (multiplicity 2)

Total DFT energy (no corrections): -0.310 Ha/atom
Magnetic moment: 0.00 μB/atom
Calculated formation energy: -0.76 eV per atom
DOS(E_F): 0.497 states/eV/atom

Entry 11:
The following is a GGA-PBE calculation of an optimized crystal structure of Hf4Ga5Ir, from Alexandria via LeMat-Bulk.

Lattice parameters (Å, degrees): 8.1840 8.1840 5.6070 90.00 90.00 90.00
Space group I4 (No. 79)
Symmetry-distinct sites (fractional):
Hf  0.0615  0.6955  0.0000 (multiplicity 8)
Ga  0.0000  0.0000  0.2480 (multiplicity 2)
Ga  0.0922  0.7592  0.5105 (multiplicity 8)
Ir  0.0000  0.0000  0.8038 (multiplicity 2)

Total DFT energy (no corrections): -0.247 Ha/atom
Magnetic moment: 0.00 μB/atom
Calculated formation energy: -0.33 eV per atom
DOS(E_F): 0.542 states/eV/atom

Entry 12:
The following is a GGA-PBE calculation of an optimized crystal structure of Hf2GaIr, from Alexandria via LeMat-Bulk.

Lattice parameters (Å, degrees): 5.4584 4.2350 6.9485 90.00 110.45 90.00
Space group P2_1/m (No. 11)
Symmetry-distinct sites (fractional):
Hf  0.1935  0.2500  0.4346 (multiplicity 2)
Hf  0.2337  0.2500  0.9160 (multiplicity 2)
Ga  0.3164  0.7500  0.2143 (multiplicity 2)
Ir  0.3463  0.7500  0.7071 (multiplicity 2)

Total DFT energy (no corrections): -0.320 Ha/atom
Magnetic moment: 0.00 μB/atom
Calculated formation energy: -0.75 eV per atom
DOS(E_F): 0.482 states/eV/atom

Entry 13:
The following is a GGA-PBE calculation of an optimized crystal structure of Hf3Ga2Ir, from Alexandria via LeMat-Bulk.

Lattice parameters (Å, degrees): 10.9212 4.2569 9.6968 90.00 90.00 90.00
Space group Pnma (No. 62)
Symmetry-distinct sites (fractional):
Hf  0.0416  0.2500  0.1457 (multiplicity 4)
Hf  0.1581  0.7500  0.6000 (multiplicity 4)
Hf  0.2250  0.2500  0.8257 (multiplicity 4)
Ga  0.0005  0.2500  0.6582 (multiplicity 4)
Ga  0.1683  0.7500  0.0292 (multiplicity 4)
Ir  0.1245  0.2500  0.4032 (multiplicity 4)

Total DFT energy (no corrections): -0.295 Ha/atom
Magnetic moment: 0.00 μB/atom
Calculated formation energy: -0.56 eV per atom
DOS(E_F): 0.703 states/eV/atom